1.
This record from Alexandria via LeMat-Bulk describes a relaxed structure of TiSbS2. The functional is GGA-PBE.

Cell: 8.463 8.463 8.463 Å, 24.78 24.78 24.78°
Fractional coordinates of all 4 atoms:
Ti1 0.000 0.000 0.000
Sb1 0.500 0.500 0.500
S1 0.094 0.094 0.094
S2 0.906 0.906 0.906

## Properties
Magnetization, μB per formula unit: 0.46
Electronic total energy, eV per atom: -5.0291
Symmetry: R-3m, No. 166

---

2.
This record from Alexandria via LeMat-Bulk describes a relaxed structure of CdInAgF6. The functional is GGA-PBE.

Cell: 5.268 5.268 10.629 Å, 90.00 90.00 90.00°
Fractional coordinates of all 18 atoms:
Cd1 0.000 0.000 0.000
Cd2 0.500 0.500 0.500
In1 0.000 0.000 0.665
In2 0.500 0.500 0.165
Ag1 0.000 0.000 0.331
Ag2 0.500 0.500 0.831
F1 0.178 0.178 0.822
F2 0.199 0.199 0.523
F3 0.217 0.217 0.151
F4 0.283 0.717 0.651
F5 0.301 0.699 0.023
F6 0.322 0.678 0.322
F7 0.678 0.322 0.322
F8 0.699 0.301 0.023
F9 0.717 0.283 0.651
F10 0.783 0.783 0.151
F11 0.801 0.801 0.523
F12 0.822 0.822 0.822

## Properties
Magnetization, μB per formula unit: 0.07
Electronic total energy, eV per atom: -4.0455
Symmetry: P4_2nm, No. 102

---

3.
This record from Alexandria via LeMat-Bulk describes a relaxed structure of Ce2TmScSe5. The functional is GGA-PBE.

Cell: 5.117 5.117 10.402 Å, 90.00 90.00 90.00°
Fractional coordinates of all 9 atoms:
Ce1 0.000 0.000 0.206
Ce2 0.000 0.000 0.794
Tm1 0.500 0.500 0.000
Sc1 0.500 0.500 0.500
Se1 0.000 0.000 0.500
Se2 0.000 0.500 0.000
Se3 0.500 0.000 0.000
Se4 0.500 0.500 0.262
Se5 0.500 0.500 0.738

## Properties
Magnetization, μB per formula unit: 3.42
Electronic total energy, eV per atom: -5.7399
Symmetry: P4/mmm, No. 123

---

4.
This record from Alexandria via LeMat-Bulk describes a relaxed structure of DyY2Co. The functional is GGA-PBE.

Cell: 6.309 6.309 9.411 Å, 90.00 90.00 146.24°
Fractional coordinates of all 8 atoms:
Dy1 0.086 0.914 0.750
Dy2 0.914 0.086 0.250
Y1 0.359 0.641 0.572
Y2 0.359 0.641 0.928
Y3 0.641 0.359 0.072
Y4 0.641 0.359 0.428
Co1 0.250 0.750 0.250
Co2 0.750 0.250 0.750

## Properties
Energy above the lowest structure with this stoichiometry, meV/atom: 25
Magnetization, μB per formula unit: 0.00
Electronic total energy, eV per atom: -6.2867
Symmetry: Cmcm, No. 63
Energy of formation from the pure elements, eV per atom: -0.1276

---

5.
This record from Alexandria via LeMat-Bulk describes a relaxed structure of Ti2VIr2. The functional is GGA-PBE.

Cell: 7.429 7.429 2.845 Å, 90.00 90.00 90.00°
Fractional coordinates of all 10 atoms:
Ti1 0.150 0.350 0.000
Ti2 0.350 0.850 0.000
Ti3 0.650 0.150 0.000
Ti4 0.850 0.650 0.000
V1 0.000 0.000 0.000
V2 0.500 0.500 0.000
Ir1 0.151 0.651 0.500
Ir2 0.349 0.151 0.500
Ir3 0.651 0.849 0.500
Ir4 0.849 0.349 0.500

## Properties
Energy above the lowest structure with this stoichiometry, meV/atom: 19
Magnetization, μB per formula unit: 1.04
Electronic total energy, eV per atom: -8.9463
Symmetry: P4/mbm, No. 127
Energy of formation from the pure elements, eV per atom: -0.4202

---

6.
This record from Alexandria via LeMat-Bulk describes a relaxed structure of YMg2Co. The functional is GGA-PBE.

Cell: 9.804 9.804 9.804 Å, 18.68 18.68 18.68°
Fractional coordinates of all 4 atoms:
Y1 0.000 0.000 0.000
Mg1 0.233 0.233 0.233
Mg2 0.767 0.767 0.767
Co1 0.500 0.500 0.500

## Properties
Magnetization, μB per formula unit: 1.14
Electronic total energy, eV per atom: -3.9045
Symmetry: R-3m, No. 166
Energy of formation from the pure elements, eV per atom: 0.2853

---

7.
This record from Alexandria via LeMat-Bulk describes a relaxed structure of TaTiSi. The functional is GGA-PBE.

Cell: 4.471 4.471 2.805 Å, 90.00 90.00 120.00°
Fractional coordinates of all 3 atoms:
Ta1 0.000 0.000 0.000
Ti1 0.333 0.667 0.598
Si1 0.667 0.333 0.287

## Properties
Magnetization, μB per formula unit: 0.54
Electronic total energy, eV per atom: -8.5045
Symmetry: P3m1, No. 156

---

8.
This record from Alexandria via LeMat-Bulk describes a relaxed structure of Pr2Y3Co2. The functional is GGA-PBE.

Cell: 6.426 6.426 9.125 Å, 114.89 114.89 33.13°
Fractional coordinates of all 7 atoms:
Pr1 0.172 0.172 0.302
Pr2 0.828 0.828 0.698
Y1 0.381 0.381 0.077
Y2 0.500 0.500 0.500
Y3 0.619 0.619 0.923
Co1 0.177 0.177 0.743
Co2 0.823 0.823 0.257

## Properties
Magnetization, μB per formula unit: 0.00
Electronic total energy, eV per atom: -6.2778
Symmetry: C2/m, No. 12
Energy of formation from the pure elements, eV per atom: -0.1117

---

9.
This record from Alexandria via LeMat-Bulk describes a relaxed structure of K3InCl4. The functional is GGA-PBE.

Cell: 10.842 9.316 6.339 Å, 90.00 90.00 90.00°
Fractional coordinates of all 16 atoms:
K1 0.000 0.164 0.000
K2 0.250 0.332 0.500
K3 0.250 0.668 0.000
K4 0.500 0.836 0.500
K5 0.750 0.332 0.500
K6 0.750 0.668 0.000
In1 0.000 0.831 0.503
In2 0.500 0.169 0.003
Cl1 0.000 0.167 0.500
Cl2 0.000 0.831 0.034
Cl3 0.247 0.334 0.000
Cl4 0.253 0.666 0.500
Cl5 0.500 0.169 0.534
Cl6 0.500 0.833 0.000
Cl7 0.747 0.666 0.500
Cl8 0.753 0.334 0.000

## Properties
Energy above the lowest structure with this stoichiometry, meV/atom: 35
Magnetization, μB per formula unit: 0.00
Electronic total energy, eV per atom: -3.3105
Symmetry: Pmn2_1, No. 31

---

10.
This record from Alexandria via LeMat-Bulk describes a relaxed structure of Dy4Cd2GaHg. The functional is GGA-PBE.

Cell: 9.045 9.045 9.045 Å, 33.56 33.56 33.56°
Fractional coordinates of all 8 atoms:
Dy1 0.122 0.122 0.122
Dy2 0.372 0.372 0.372
Dy3 0.628 0.628 0.628
Dy4 0.878 0.878 0.878
Cd1 0.249 0.249 0.249
Cd2 0.751 0.751 0.751
Ga1 0.000 0.000 0.000
Hg1 0.500 0.500 0.500

## Properties
Magnetization, μB per formula unit: 0.00
Electronic total energy, eV per atom: -3.3638
Symmetry: R-3m, No. 166
Energy of formation from the pure elements, eV per atom: -0.4178

---

11.
This record from Alexandria via LeMat-Bulk describes a relaxed structure of HfTe2NO. The functional is GGA-PBE.

Cell: 4.642 4.642 4.040 Å, 90.00 90.00 90.00°
Fractional coordinates of all 5 atoms:
Hf1 0.000 0.000 0.000
Te1 0.000 0.500 0.500
Te2 0.500 0.000 0.500
N1 0.500 0.500 0.000
O1 0.500 0.500 0.500

## Properties
Energy above the lowest structure with this stoichiometry, meV/atom: 140
Magnetization, μB per formula unit: 0.00
Electronic total energy, eV per atom: -5.2193
Symmetry: P4/mmm, No. 123

---

12.
This record from Alexandria via LeMat-Bulk describes a relaxed structure of SrHf6O12. The functional is GGA-PBE.

Cell: 6.444 6.444 6.444 Å, 104.64 104.64 104.64°
Fractional coordinates of all 19 atoms:
Sr1 0.000 0.000 0.000
Hf1 0.239 0.239 0.632
Hf2 0.239 0.632 0.239
Hf3 0.368 0.761 0.761
Hf4 0.632 0.239 0.239
Hf5 0.761 0.368 0.761
Hf6 0.761 0.761 0.368
O1 0.127 0.500 0.873
O2 0.127 0.873 0.500
O3 0.186 0.455 0.455
O4 0.455 0.186 0.455
O5 0.455 0.455 0.186
O6 0.500 0.127 0.873
O7 0.500 0.873 0.127
O8 0.545 0.545 0.814
O9 0.545 0.814 0.545
O10 0.814 0.545 0.545
O11 0.873 0.127 0.500
O12 0.873 0.500 0.127

## Properties
Magnetization, μB per formula unit: 0.00
Electronic total energy, eV per atom: -9.3861
Symmetry: R-3m, No. 166

---

13.
This record from Alexandria via LeMat-Bulk describes a relaxed structure of MgSiBr2. The functional is GGA-PBE.

Cell: 3.366 3.366 8.853 Å, 90.00 90.00 90.00°
Fractional coordinates of all 4 atoms:
Mg1 0.000 0.000 0.000
Si1 0.500 0.500 0.203
Br1 0.000 0.000 0.401
Br2 0.500 0.500 0.829

## Properties
Energy above the lowest structure with this stoichiometry, meV/atom: 130
Magnetization, μB per formula unit: 0.00
Electronic total energy, eV per atom: -2.8156
Symmetry: P4mm, No. 99